Density functional theory data (PBE) for crystalline LaAg2Rh2 at its relaxed geometry.

Unit cell a=7.759 b=7.759 c=3.192 alpha=90.00 beta=90.00 gamma=90.00
Sites, in units of the cell vectors:
La: 0.500 0.500 0.000
La: 0.000 0.000 0.000
Rh: 0.327 0.173 0.500
Rh: 0.827 0.327 0.500
Rh: 0.173 0.673 0.500
Rh: 0.673 0.827 0.500
Ag: 0.876 0.624 0.000
Ag: 0.376 0.876 0.000
Ag: 0.624 0.124 0.000
Ag: 0.124 0.376 0.000

## Properties
Crystal system = tetragonal
M_tot = 0.0000 μB per atom
Space-group type = P4/mbm (127)
DFT formation energy = 0.01 eV/atom
VASP energy = -5.053 eV/atom